Here is La4TbPr6 after structural relaxation from Alexandria. Energies are from PBE.

Output
total magnetization	0.000	μB per formula unit
E above lowest polymorph	0.20	eV/f.u.
uncorrected energy	-4.563	eV per atom

Unit cell a=9.7459 b=9.7459 c=9.7459 alpha=138.05 beta=138.05 gamma=60.83
With the nearest neighbours (Å) after each atom.
Sites, in units of the cell vectors:
La 0.1337 0.1337 0.6278  3 Pr 3.45-3.68, 1 Tb 3.54, 1 La 3.67
La 0.4941 0.8663 0.0000  3 Pr 3.45-3.68, 1 Tb 3.54, 1 La 3.67
La 0.5059 0.5059 0.3722  3 Pr 3.45-3.68, 1 Tb 3.54, 1 La 3.67
La 0.8663 0.4941 0.0000  3 Pr 3.45-3.68, 1 Tb 3.54, 1 La 3.67
Tb 0.5000 0.5000 0.0000  8 Pr 3.49-3.81, 4 La 3.54
Pr 0.0000 0.5000 0.5000  4 Pr 3.24, 2 Tb 3.49
Pr 0.0522 0.7186 0.0000  3 Pr 3.24-3.29, 1 La 3.45
Pr 0.2814 0.2814 0.3337  3 Pr 3.24-3.29, 1 La 3.45
Pr 0.5000 0.0000 0.5000  4 Pr 3.24, 2 Tb 3.49
Pr 0.7186 0.0522 0.0000  3 Pr 3.24-3.29, 1 La 3.45
Pr 0.9478 0.9478 0.6663  3 Pr 3.24-3.29, 1 La 3.45